ZrTaGe2Sb2 | PBE | optimized geometry

Structure (POSCAR):
```
ZrTaGe2Sb2
1.0
3.7837 0.0000 0.0000
0.0000 3.7837 0.0000
0.0000 0.0000 8.4631
Zr Ta Ge Sb
1 1 2 2
Direct
0.0000 0.0000 0.0000
0.5000 0.5000 0.4946
0.0000 0.5000 0.2547
0.5000 0.0000 0.2547
0.0000 0.0000 0.6313
0.5000 0.5000 0.8542
```

## Properties
Magnetic moment ... 0.0 μB/f.u.
VASP energy ... -6.7130 eV per atom
SG ... P4mm